YNpAgO6 (PBE, optimized geometry); formation energy without anion corrections = -2196 meV per atom; calculated volume = 264.2 Å³ per cell; total magnetic moment = 0.12 μB/atom
1.0
-3.2502 1.0746 4.3514
-1.8432 -3.2304 -4.1012
3.6179 -8.0050 4.6792
Ag O Np Y
2 12 2 2
direct
0.6667 0.3333 0.7500
0.3333 0.6667 0.2500
0.6406 0.6821 0.6324
0.3179 0.3594 0.8676
0.3594 0.0416 0.1324
0.3594 0.3179 0.3676
0.9584 0.3179 0.1324
0.9584 0.6406 0.3676
0.6821 0.0416 0.3676
0.6406 0.9584 0.8676
0.0416 0.6821 0.8676
0.3179 0.9584 0.6324
0.0416 0.3594 0.6324
0.6821 0.6406 0.1324
0.6667 0.3333 0.2500
0.3333 0.6667 0.7500
0.0000 0.0000 0.5000
0.0000 0.0000 0.0000

---

NpZn2AgO6 (PBE, optimized geometry); formation energy without anion corrections = -1631 meV per atom; calculated volume = 138.6 Å³ per cell; total magnetic moment = 0.00 μB/atom
1.0
5.6335 0.2425 0.5529
3.0202 4.9262 0.3586
3.3784 1.8068 5.4836
O Np Zn Ag
6 1 2 1
direct
0.5878 0.2233 0.2275
0.1872 0.4062 0.7444
0.9076 0.5044 0.2535
0.7425 0.1342 0.8050
0.2423 0.9283 0.2249
0.3606 0.7272 0.8350
0.3287 0.3217 0.0275
0.0245 0.0726 0.9511
0.4890 0.5079 0.3652
0.7915 0.8357 0.5812

---

NpZnAgO6 (PBE, optimized geometry); formation energy without anion corrections = -1393 meV per atom; calculated volume = 232.4 Å³ per cell; total magnetic moment = 0.23 μB/atom
1.0
-4.1059 2.3384 2.5556
3.0596 -3.5970 2.5609
5.6492 6.8225 2.8336
O Np Ag Zn
12 2 2 2
direct
0.9697 0.6518 0.3734
0.3482 0.3179 0.3734
0.6821 0.0303 0.3734
0.3179 0.3482 0.8734
0.3482 0.0303 0.1266
0.3179 0.9697 0.6266
0.9697 0.3179 0.1266
0.0303 0.6821 0.8734
0.6518 0.6821 0.6266
0.6518 0.9697 0.8734
0.0303 0.3482 0.6266
0.6821 0.6518 0.1266
0.6667 0.3333 0.2500
0.3333 0.6667 0.7500
0.6667 0.3333 0.7500
0.3333 0.6667 0.2500
0.0000 0.0000 0.5000
0.0000 0.0000 0.0000